VASP calculation (SCAN) on Li2ZrNi at its PBEsol-relaxed geometry.

The space group is C2/m (No. 12) and the conventional cell measures 10.9050, 2.9570 and 4.2734 Å, with angles of 90.00, 112.91 and 90.00 degrees. The distinct sites, in fractional coordinates, are Li at (0.2148, 0.0000, 0.2146), Zr at (0.0000, 0.0000, 0.5000) and Ni at (0.0000, 0.5000, 0.0000).

For the formation enthalpy at 0 K, the calculation gives -0.002 eV per atom.